Entry from the Alexandria database: a relaxed Cu12PdPt3 crystal (PBE).

* calculated formation energy: -0.1386 eV per atom
* total magnetization: 0.000 μB/atom
* calculated volume: 206.7 Å³/cell
* total energy: -4.668 eV per atom

abc: 3.723 3.723 14.911
angles: 90.00 90.00 90.00
Space group P4/mmm (No. 123)
Symmetry-distinct sites (fractional):
Cu: 0.000 0.000 0.000
Cu: 0.000 0.000 0.250
Cu: 0.000 0.000 0.500
Cu: 0.000 0.500 0.125
Cu: 0.000 0.500 0.375
Pd: 0.500 0.500 0.000
Pt: 0.500 0.500 0.250
Pt: 0.500 0.500 0.500